Entry from Alexandria: Y3ZnCo8 after structural relaxation (GGA-PBE).

a = 4.995 Å, b = 4.995 Å, c = 8.675 Å
α = 73.27°, β = 73.27°, γ = 60.00°
Last column: magnetic moment on the atom in μB.
Fractional positions:
Co: 0.443 0.938 0.681  1.27
Co: 0.437 0.437 0.192  1.23
Co: 0.437 0.935 0.192  1.23
Co: 0.938 0.443 0.681  1.27
Co: 0.688 0.688 0.937  1.18
Co: 0.938 0.938 0.681  1.27
Co: 0.935 0.437 0.192  1.23
Co: 0.189 0.189 0.434  1.31
Zn: 0.872 0.872 0.384  -0.04
Y: 0.505 0.505 0.486  -0.25
Y: 0.993 0.993 0.020  -0.26
Y: 0.376 0.376 0.872  -0.28

Results
Total moment ... 8.5 Bohr magnetons per cell
E_tot ... -6.61 eV per atom
Space-group type ... R3m (160)
Energy relative to the elements ... -0.152 eV per atom
Calculated volume ... 176.7 Å³/f.u.